# 1
CsNaHfBr6 after structural relaxation. Source: Alexandria, functional GGA-PBE.

Structure (POSCAR):
```
CsNaHfBr6
1.0
7.4736 0.0000 0.0000
-3.7368 6.4723 0.0000
0.0000 0.0000 15.7024
Cs Na Hf Br
2 2 2 12
Direct
0.0000 0.0000 0.0000
0.0000 0.0000 0.5000
0.3333 0.6667 0.2500
0.6667 0.3333 0.7500
0.3333 0.6667 0.7500
0.6667 0.3333 0.2500
0.0374 0.3917 0.6522
0.0374 0.6457 0.8478
0.3543 0.3917 0.8478
0.3543 0.9626 0.6522
0.3917 0.0374 0.1522
0.3917 0.3543 0.3478
0.6083 0.6457 0.6522
0.6083 0.9626 0.8478
0.6457 0.0374 0.3478
0.6457 0.6083 0.1522
0.9626 0.3543 0.1522
0.9626 0.6083 0.3478
```

E_form (uncorrected): -1564 meV per atom
Symmetry: No. 163

---

# 2
LiTbInNi after structural relaxation. Source: Alexandria, functional GGA-PBE.

Structure (POSCAR):
```
LiTbInNi
1.0
0.0000 3.3259 3.3259
3.3259 0.0000 3.3259
3.3259 3.3259 0.0000
Li Tb In Ni
1 1 1 1
Direct
0.0000 0.0000 0.0000
0.2500 0.2500 0.2500
0.7500 0.7500 0.7500
0.5000 0.5000 0.5000
```

Calculated formation energy: -0.36 eV per atom
Symmetry: No. 216

---

# 3
Pu5SiGe3 after structural relaxation. Source: Alexandria, functional GGA-PBE.

Structure (POSCAR):
```
Pu5SiGe3
1.0
8.8199 0.0000 0.0000
-4.4099 7.6383 0.0000
0.0000 0.0000 5.8861
Pu Si Ge
10 2 6
Direct
0.0000 0.2845 0.2500
0.0000 0.7155 0.7500
0.2845 0.0000 0.2500
0.2845 0.2845 0.7500
0.3333 0.6667 0.0000
0.3333 0.6667 0.5000
0.6667 0.3333 0.0000
0.6667 0.3333 0.5000
0.7155 0.0000 0.7500
0.7155 0.7155 0.2500
0.0000 0.0000 0.0000
0.0000 0.0000 0.5000
0.0000 0.3709 0.7500
0.0000 0.6291 0.2500
0.3709 0.0000 0.7500
0.3709 0.3709 0.2500
0.6291 0.0000 0.2500
0.6291 0.6291 0.7500
```

E_form (uncorrected): -363 meV per atom
Symmetry: No. 193

---

# 4
CsP2Ru after structural relaxation. Source: Alexandria, functional GGA-PBE.

Structure (POSCAR):
```
CsP2Ru
1.0
-3.5246 3.5246 4.9039
3.5246 -3.5246 4.9039
3.5246 3.5246 -4.9039
Cs P Ru
2 4 2
Direct
0.0000 0.0000 0.0000
0.7500 0.2500 0.5000
0.3010 0.6250 0.1760
0.3750 0.5510 0.6760
0.4490 0.1250 0.8240
0.8750 0.6990 0.3240
0.2500 0.7500 0.5000
0.5000 0.5000 0.0000
```

Calculated formation energy: -0.24 eV per atom
Symmetry: No. 122
Energy above the most stable polymorph in this dataset: 0.0 meV/atom

---

# 5
ScOsS3 after structural relaxation. Source: Alexandria, functional GGA-PBE.

Structure (POSCAR):
```
ScOsS3
1.0
4.6279 0.0000 0.0000
0.0000 4.6279 0.0000
0.0000 0.0000 4.6279
Sc Os S
1 1 3
Direct
0.0000 0.0000 0.0000
0.5000 0.5000 0.5000
0.0000 0.5000 0.5000
0.5000 0.0000 0.5000
0.5000 0.5000 0.0000
```

E_form (uncorrected): -5 meV per atom
Symmetry: No. 221
Energy above the most stable polymorph in this dataset: 0.0 meV/atom

---

# 6
PmPr8Nd2 after structural relaxation. Source: Alexandria, functional GGA-PBE.

Structure (POSCAR):
```
PmPr8Nd2
1.0
8.5801 -3.4586 0.0000
8.5801 3.4586 0.0000
-1.2371 0.0000 6.7445
Pm Pr Nd
1 8 2
Direct
0.0000 0.0000 0.0000
0.1750 0.6503 0.5924
0.2446 0.2446 0.3182
0.3497 0.8250 0.4076
0.4083 0.4083 0.0861
0.5917 0.5917 0.9139
0.6503 0.1750 0.5924
0.7554 0.7554 0.6818
0.8250 0.3497 0.4076
0.1981 0.1981 0.8096
0.8019 0.8019 0.1904
```

Calculated formation energy: 0.15 eV per atom
Symmetry: No. 12
Energy above the most stable polymorph in this dataset: 135.7 meV/atom